Entry 1:
Material: Sr3CdGe2Au6
Method: DFT, PBE
State: optimized geometry

abc: 6.5158 6.5158 8.4882
angles: 90.00 90.00 120.00
With the nearest neighbours (Å) after each atom.
Fractional positions:
Sr: 0.0000 0.0000 0.0000  6 Au 3.17
Sr: 0.3333 0.6667 0.6480  9 Au 3.31-3.53, 1 Ge 3.41
Sr: 0.6667 0.3333 0.3520  9 Au 3.31-3.53, 1 Ge 3.41
Cd: 0.0000 0.0000 0.5000  6 Au 2.76
Ge: 0.3333 0.6667 0.0497  3 Au 2.62
Ge: 0.6667 0.3333 0.9503  3 Au 2.62
Au: 0.1820 0.3640 0.2837  1 Ge 2.62, 1 Cd 2.76
Au: 0.1820 0.8180 0.2837  1 Ge 2.62, 1 Cd 2.76
Au: 0.3640 0.1820 0.7163  1 Ge 2.62, 1 Cd 2.76
Au: 0.6360 0.8180 0.2837  1 Ge 2.62, 1 Cd 2.76
Au: 0.8180 0.1820 0.7163  1 Ge 2.62, 1 Cd 2.76
Au: 0.8180 0.6360 0.7163  1 Ge 2.62, 1 Cd 2.76

## Properties
- electronic total energy (eV per atom) = -3.329
- energy of formation (eV/f.u.) = -5.09



Entry 2:
Material: Sr2CdGeAu6
Method: DFT, PBE
State: optimized geometry

abc: 7.0409 7.0409 9.2594
angles: 128.20 128.20 47.19
With the nearest neighbours (Å) after each atom.
Fractional positions:
Sr: 0.2461 0.2461 0.2098  7 Au 3.26-3.57
Sr: 0.7539 0.7539 0.7902  7 Au 3.26-3.57
Cd: 0.5000 0.5000 0.0000  6 Au 2.78-2.83
Ge: 0.0000 0.0000 0.5000  6 Au 2.64-2.70
Au: 0.2450 0.7442 0.2542  1 Ge 2.64, 1 Cd 2.78, 3 Au 2.81-2.94
Au: 0.2504 0.2504 0.5995  1 Ge 2.70, 1 Cd 2.83, 4 Au 2.94-2.98
Au: 0.2558 0.7550 0.7458  1 Ge 2.64, 1 Cd 2.78, 3 Au 2.81-2.94
Au: 0.7442 0.2450 0.2542  1 Ge 2.64, 1 Cd 2.78, 3 Au 2.81-2.94
Au: 0.7496 0.7496 0.4005  1 Ge 2.70, 1 Cd 2.83, 4 Au 2.94-2.98
Au: 0.7550 0.2558 0.7458  1 Ge 2.64, 1 Cd 2.78, 3 Au 2.81-2.94

## Properties
- electronic total energy (eV per atom) = -3.280
- energy of formation (eV/f.u.) = -4.24



Entry 3:
Material: Sr2CdGe3Au4
Method: DFT, PBE
State: optimized geometry

abc: 4.5499 4.5499 11.0605
angles: 90.00 90.00 90.00
With the nearest neighbours (Å) after each atom.
Fractional positions:
Sr: 0.0000 0.5000 0.2395  6 Ge 3.45-3.67, 8 Au 3.47-3.49, 2 Cd 3.67
Sr: 0.5000 0.0000 0.7605  6 Ge 3.45-3.67, 8 Au 3.47-3.49, 2 Cd 3.67
Cd: 0.0000 0.0000 0.5000  4 Au 2.78
Ge: 0.0000 0.5000 0.8738  5 Au 2.54-2.67
Ge: 0.5000 0.0000 0.1262  5 Au 2.54-2.67
Ge: 0.5000 0.5000 0.5000  4 Au 2.78
Au: 0.0000 0.0000 0.0000  4 Ge 2.67
Au: 0.0000 0.5000 0.6439  3 Ge 2.54-2.78, 2 Cd 2.78
Au: 0.5000 0.0000 0.3561  3 Ge 2.54-2.78, 2 Cd 2.78
Au: 0.5000 0.5000 0.0000  4 Ge 2.67

## Properties
- electronic total energy (eV per atom) = -3.615
- energy of formation (eV/f.u.) = -4.91



Entry 4:
Material: SrCd2GeAu4
Method: DFT, PBE
State: optimized geometry

abc: 9.4408 9.4408 9.4408
angles: 29.34 29.34 29.34
With the nearest neighbours (Å) after each atom.
Fractional positions:
Sr: 0.0000 0.0000 0.0000  8 Au 3.26-3.57, 6 Cd 3.63
Cd: 0.2466 0.2466 0.2466  7 Au 2.83-3.10
Cd: 0.7534 0.7534 0.7534  7 Au 2.83-3.10
Ge: 0.5000 0.5000 0.5000  8 Au 2.78-2.92
Au: 0.1319 0.1319 0.1319  3 Ge 2.92, 4 Cd 3.02-3.10
Au: 0.3975 0.3975 0.3975  1 Ge 2.78, 3 Cd 2.83
Au: 0.6025 0.6025 0.6025  1 Ge 2.78, 3 Cd 2.83
Au: 0.8681 0.8681 0.8681  3 Ge 2.92, 4 Cd 3.02-3.10

## Properties
- electronic total energy (eV per atom) = -2.919
- energy of formation (eV/f.u.) = -2.11



Entry 5:
Material: SrCdGeAu
Method: DFT, PBE
State: optimized geometry

abc: 7.2386 7.2386 7.2386
angles: 90.00 90.00 90.00
With the nearest neighbours (Å) after each atom.
Fractional positions:
Sr: 0.0000 0.0000 0.0000  4 Ge 3.13, 4 Au 3.13
Sr: 0.0000 0.5000 0.5000  4 Ge 3.13, 4 Au 3.13
Sr: 0.5000 0.0000 0.5000  4 Ge 3.13, 4 Au 3.13
Sr: 0.5000 0.5000 0.0000  4 Ge 3.13, 4 Au 3.13
Cd: 0.0000 0.0000 0.5000  4 Au 3.13, 4 Ge 3.13
Cd: 0.0000 0.5000 0.0000  4 Au 3.13, 4 Ge 3.13
Cd: 0.5000 0.0000 0.0000  4 Au 3.13, 4 Ge 3.13
Cd: 0.5000 0.5000 0.5000  4 Ge 3.13, 4 Au 3.13
Ge: 0.2500 0.2500 0.7500  4 Cd 3.13, 4 Sr 3.13
Ge: 0.2500 0.7500 0.2500  4 Cd 3.13, 4 Sr 3.13
Ge: 0.7500 0.2500 0.2500  4 Cd 3.13, 4 Sr 3.13
Ge: 0.7500 0.7500 0.7500  4 Cd 3.13, 4 Sr 3.13
Au: 0.2500 0.2500 0.2500  4 Cd 3.13, 4 Sr 3.13
Au: 0.2500 0.7500 0.7500  4 Cd 3.13, 4 Sr 3.13
Au: 0.7500 0.2500 0.7500  4 Cd 3.13, 4 Sr 3.13
Au: 0.7500 0.7500 0.2500  4 Cd 3.13, 4 Sr 3.13

## Properties
- electronic total energy (eV per atom) = -2.939
- energy of formation (eV/f.u.) = -1.26



Entry 6:
Material: SrCd2GeAu2
Method: DFT, PBE
State: optimized geometry

abc: 5.1914 5.1914 12.8150
angles: 90.00 90.00 90.00
With the nearest neighbours (Å) after each atom.
Fractional positions:
Sr: 0.0000 0.0000 0.0000  4 Ge 3.67, 2 Au 4.00
Sr: 0.5000 0.5000 0.5000  4 Ge 3.67, 2 Au 4.00
Cd: 0.0000 0.5000 0.2500  4 Au 2.72
Cd: 0.0000 0.5000 0.7500  4 Au 2.72
Cd: 0.5000 0.0000 0.2500  4 Au 2.72
Cd: 0.5000 0.0000 0.7500  4 Au 2.72
Ge: 0.0000 0.0000 0.5000  2 Au 2.41
Ge: 0.5000 0.5000 0.0000  2 Au 2.41
Au: 0.0000 0.0000 0.3123  1 Ge 2.41
Au: 0.0000 0.0000 0.6877  1 Ge 2.41
Au: 0.5000 0.5000 0.1877  1 Ge 2.41
Au: 0.5000 0.5000 0.8123  1 Ge 2.41

## Properties
- electronic total energy (eV per atom) = -2.588
- energy of formation (eV/f.u.) = -0.84



Entry 7:
Material: SrCdGe2Au4
Method: DFT, PBE
State: optimized geometry

abc: 10.2138 10.2138 10.2138
angles: 25.66 25.66 25.66
With the nearest neighbours (Å) after each atom.
Fractional positions:
Sr: 0.0000 0.0000 0.0000  6 Au 3.28
Cd: 0.5000 0.5000 0.5000  8 Au 2.86-2.96
Ge: 0.2456 0.2456 0.2456  6 Au 2.69-2.88
Ge: 0.7544 0.7544 0.7544  6 Au 2.69-2.88
Au: 0.1281 0.1281 0.1281  3 Cd 2.86, 3 Ge 2.88, 3 Au 3.19
Au: 0.4000 0.4000 0.4000  3 Ge 2.69, 1 Cd 2.96
Au: 0.6000 0.6000 0.6000  3 Ge 2.69, 1 Cd 2.96
Au: 0.8719 0.8719 0.8719  3 Cd 2.86, 3 Ge 2.88, 3 Au 3.19

## Properties
- electronic total energy (eV per atom) = -3.370
- energy of formation (eV/f.u.) = -2.02



Entry 8:
Material: TbCdGeAu
Method: DFT, PBE
State: optimized geometry

abc: 7.0089 7.0089 7.0089
angles: 90.00 90.00 90.00
With the nearest neighbours (Å) after each atom.
Fractional positions:
Tb: 0.0000 0.0000 0.0000  4 Ge 3.03, 4 Au 3.03
Tb: 0.0000 0.5000 0.5000  4 Ge 3.03, 4 Au 3.03
Tb: 0.5000 0.0000 0.5000  4 Ge 3.03, 4 Au 3.03
Tb: 0.5000 0.5000 0.0000  4 Ge 3.03, 4 Au 3.03
Cd: 0.0000 0.0000 0.5000  4 Ge 3.03, 4 Au 3.03
Cd: 0.0000 0.5000 0.0000  4 Ge 3.03, 4 Au 3.03
Cd: 0.5000 0.0000 0.0000  4 Ge 3.03, 4 Au 3.03
Cd: 0.5000 0.5000 0.5000  4 Ge 3.03, 4 Au 3.03
Ge: 0.2500 0.2500 0.2500  4 Cd 3.03, 4 Tb 3.03
Ge: 0.2500 0.7500 0.7500  4 Cd 3.03, 4 Tb 3.03
Ge: 0.7500 0.2500 0.7500  4 Cd 3.03, 4 Tb 3.03
Ge: 0.7500 0.7500 0.2500  4 Cd 3.03, 4 Tb 3.03
Au: 0.2500 0.2500 0.7500  4 Cd 3.03, 4 Tb 3.03
Au: 0.2500 0.7500 0.2500  4 Cd 3.03, 4 Tb 3.03
Au: 0.7500 0.2500 0.2500  4 Cd 3.03, 4 Tb 3.03
Au: 0.7500 0.7500 0.7500  4 Cd 3.03, 4 Tb 3.03

## Properties
- electronic total energy (eV per atom) = -3.861
- energy of formation (eV/f.u.) = -2.00